Record 1
Computed, not measured: a relaxed SrNbAu2 crystal at the PBE level of DFT.

Output
Mass density, g cm⁻³: 10.504
Formation energy from the elements, eV per formula unit: 0.27
Volume, Å³/atom: 22.70
Excess energy over the best structure of this formula in the dataset, meV/atom: 0.0
Space-group type: Fm-3m

Cell: 7.135 7.135 7.135 Å, 90.00 90.00 90.00°
Element x y z (fractional)
Sr 0.000 0.000 0.000
Sr 0.000 0.500 0.500
Sr 0.500 0.000 0.500
Sr 0.500 0.500 0.000
Nb 0.000 0.000 0.500
Nb 0.000 0.500 0.000
Nb 0.500 0.000 0.000
Nb 0.500 0.500 0.500
Au 0.250 0.250 0.250
Au 0.250 0.250 0.750
Au 0.250 0.750 0.250
Au 0.250 0.750 0.750
Au 0.750 0.250 0.250
Au 0.750 0.250 0.750
Au 0.750 0.750 0.250
Au 0.750 0.750 0.750

***

Record 2
Computed, not measured: a relaxed LiPm2Sn3 crystal at the PBE level of DFT.

Output
Mass density, g cm⁻³: 6.960
Formation energy from the elements, eV per formula unit: -3.63
Volume, Å³/atom: 25.97
Excess energy over the best structure of this formula in the dataset, meV/atom: 0.0
Space-group type: Cm

Cell: 11.429 4.670 7.467 Å, 90.00 128.56 90.00°
Element x y z (fractional)
Li 0.000 0.000 0.000
Li 0.500 0.500 0.000
Pm 0.277 0.000 0.599
Pm 0.383 0.000 0.218
Pm 0.777 0.500 0.599
Pm 0.883 0.500 0.218
Sn 0.147 0.500 0.183
Sn 0.199 0.500 0.818
Sn 0.482 0.500 0.594
Sn 0.647 0.000 0.183
Sn 0.699 0.000 0.818
Sn 0.982 0.000 0.594

***

Record 3
Computed, not measured: a relaxed Sr3AsBr crystal at the PBE level of DFT.

Output
Mass density, g cm⁻³: 3.134
Volume, Å³/atom: 44.26
Excess energy over the best structure of this formula in the dataset, meV/atom: 0.0
Raw formation energy, meV per atom: -825.6
Space-group type: Pm-3m

Cell: 6.049 6.049 6.049 Å, 90.00 90.00 90.00°
Element x y z (fractional)
Sr 0.000 0.000 0.500
Sr 0.000 0.500 0.000
Sr 0.500 0.000 0.000
As 0.000 0.000 0.000
Br 0.500 0.500 0.500